Record 1
The following is a GGA-PBE calculation of a geometry-optimized Li2TeMo structure, from the Alexandria database.

Output
ΔE_f (raw) ... 0.240 eV/atom
DOS(E_F) ... 0.72 states/eV/atom

Unit cell a=8.679 b=8.679 c=8.679 alpha=22.27 beta=22.27 gamma=22.27
Sites, in units of the cell vectors:
Li: 0.000 0.000 0.000
Li: 0.246 0.246 0.246
Te: 0.761 0.761 0.761
Mo: 0.499 0.499 0.499

***

Record 2
The following is a GGA-PBE calculation of a geometry-optimized PmCdPtO4 structure, from the Alexandria database.

Output
ΔE_f (raw) ... -1.517 eV/atom
DOS(E_F) ... 0.28 states/eV/atom

Unit cell a=6.504 b=6.504 c=6.504 alpha=113.71 beta=113.04 gamma=101.92
Sites, in units of the cell vectors:
Pm: 0.500 0.000 0.000
Pm: 0.500 0.500 0.500
Cd: 0.089 0.339 0.750
Cd: 0.911 0.661 0.250
Pt: 0.000 0.000 0.000
Pt: 0.500 0.000 0.500
O: 0.215 0.150 0.435
O: 0.215 0.780 0.065
O: 0.287 0.749 0.538
O: 0.289 0.251 0.038
O: 0.711 0.749 0.962
O: 0.713 0.251 0.462
O: 0.785 0.220 0.935
O: 0.785 0.850 0.565

***

Record 3
The following is a GGA-PBE calculation of a geometry-optimized SmAl2Rh structure, from the Alexandria database.

Output
ΔE_f ... -0.64 eV/atom
DOS(E_F) ... 0.78 states/eV/atom

Unit cell a=3.155 b=3.155 c=7.427 alpha=90.00 beta=90.00 gamma=90.00
Sites, in units of the cell vectors:
Sm: 0.000 0.000 0.000
Al: 0.500 0.500 0.313
Al: 0.500 0.500 0.687
Rh: 0.000 0.000 0.500

***

Record 4
The following is a GGA-PBE calculation of a geometry-optimized CdTcRu2 structure, from the Alexandria database.

Output
ΔE_f ... 0.47 eV/atom
DOS(E_F) ... 1.75 states/eV/atom

Unit cell a=4.807 b=4.807 c=2.804 alpha=90.00 beta=90.00 gamma=107.97
Sites, in units of the cell vectors:
Cd: 0.000 0.000 0.000
Tc: 0.500 0.500 0.000
Ru: 0.000 0.500 0.500
Ru: 0.500 0.000 0.500

***

Record 5
The following is a GGA-PBE calculation of a geometry-optimized TmPaCo2 structure, from the Alexandria database.

Output
ΔE_f ... -0.28 eV/atom
Polymorph energy (0 for the lowest one) ... 123 meV/atom
DOS(E_F) ... 0.75 states/eV/atom

Unit cell a=3.327 b=3.327 c=6.652 alpha=90.00 beta=90.00 gamma=90.00
Sites, in units of the cell vectors:
Tm: 0.000 0.000 0.000
Pa: 0.000 0.000 0.500
Co: 0.500 0.500 0.295
Co: 0.500 0.500 0.705